Entry 1:
The following is a DFT calculation (GGA-PBE) of a relaxed Ho2Hf2N3 crystal.

The structure in POSCAR format:
```
Ho2Hf2N3
1.0
5.702 -1.682 0.000
5.702 1.682 0.000
-1.523 0.000 5.501
Ho Hf N
2 2 3
direct
0.120 0.120 0.353
0.880 0.880 0.647
0.360 0.360 0.149
0.640 0.640 0.851
0.248 0.248 0.761
0.500 0.500 0.500
0.752 0.752 0.239
```

Calculated values
- DOS(E_F): 2.06 states/eV/cell
- SG: C2/m (12)
- Formation energy (no corrections): -1.534 eV/atom

Entry 2:
The following is a DFT calculation (GGA-PBE) of a relaxed Pr4Ho2TmMg crystal.

The structure in POSCAR format:
```
Pr4Ho2TmMg
1.0
4.099 -4.103 0.000
4.099 4.103 0.000
0.000 0.000 7.760
Pr Ho Tm Mg
4 2 1 1
direct
0.000 0.500 0.242
0.000 0.500 0.758
0.500 0.000 0.242
0.500 0.000 0.758
0.000 0.000 0.000
0.500 0.500 0.500
0.000 0.000 0.500
0.500 0.500 0.000
```

Calculated values
- Formation energy: 31.1 kJ/mol of formula units
- DOS(E_F): 10.16 states/eV/cell
- SG: Cmmm (65)

Entry 3:
The following is a DFT calculation (GGA-PBE) of a relaxed PrPdAu11 crystal.

The structure in POSCAR format:
```
PrPdAu11
1.0
2.789 -6.843 0.000
2.789 6.843 0.000
-2.624 0.000 6.654
Pr Pd Au
1 1 11
direct
0.000 0.000 0.000
0.000 0.000 0.500
0.000 0.500 0.000
0.010 0.668 0.648
0.286 0.498 0.786
0.332 0.990 0.352
0.498 0.286 0.786
0.500 0.000 0.000
0.500 0.500 0.500
0.502 0.714 0.214
0.668 0.010 0.648
0.714 0.502 0.214
0.990 0.332 0.352
```

Calculated values
- Formation energy: -278.3 kJ/mol of formula units
- DOS(E_F): 3.24 states/eV/cell
- SG: C2/m (12)

Entry 4:
The following is a DFT calculation (GGA-PBE) of a relaxed Ca3UN4 crystal.

The structure in POSCAR format:
```
Ca3UN4
1.0
-2.445 2.445 5.007
2.445 -2.445 5.007
2.445 2.445 -5.007
Ca U N
3 1 4
direct
0.000 0.000 0.000
0.250 0.750 0.500
0.750 0.250 0.500
0.500 0.500 0.000
0.000 0.500 0.500
0.298 0.298 0.000
0.500 0.000 0.500
0.702 0.702 0.000
```

Calculated values
- SG: I4/mmm (139)
- Formation energy (no corrections): -1.287 eV/atom